(1)
# YAlIr2, relaxed, DFT PBE
data_YAlIr2
_chemical_formula_sum 'Y1 Al1 Ir2'
_symmetry_space_group_name_H-M 'P 1'
_symmetry_Int_Tables_number 1
_cell_length_a 3.011
_cell_length_b 4.059
_cell_length_c 5.780
_cell_angle_alpha 90.00
_cell_angle_beta 90.00
_cell_angle_gamma 90.00
loop_
_symmetry_equiv_pos_as_xyz
'x,y,z'
loop_
_atom_site_label
_atom_site_type_symbol
_atom_site_fract_x
_atom_site_fract_y
_atom_site_fract_z
Ir1 Ir 0.500 0.500 0.255
Ir2 Ir 0.000 0.000 0.955
Al1 Al 0.500 0.500 0.817
Y1 Y 0.000 0.000 0.473
# Crystal system: orthorhombic
# ΔE_f in eV/f.u.: -1.887
# M_tot in μB per cell: 0.0
# Space-group type: No. 25

***

(2)
# ZrRh3S, relaxed, DFT PBE
data_ZrRh3S
_chemical_formula_sum 'Zr1 Rh3 S1'
_symmetry_space_group_name_H-M 'P 1'
_symmetry_Int_Tables_number 1
_cell_length_a 4.412
_cell_length_b 4.412
_cell_length_c 4.412
_cell_angle_alpha 90.00
_cell_angle_beta 90.00
_cell_angle_gamma 90.00
loop_
_symmetry_equiv_pos_as_xyz
'x,y,z'
loop_
_atom_site_label
_atom_site_type_symbol
_atom_site_fract_x
_atom_site_fract_y
_atom_site_fract_z
Rh1 Rh 0.000 0.000 0.500
Rh2 Rh 0.500 0.000 0.000
Rh3 Rh 0.000 0.500 0.000
S1 S 0.000 0.000 0.000
Zr1 Zr 0.500 0.500 0.500
# E above lowest polymorph in meV per atom: 0
# Crystal system: cubic
# E_form (uncorrected) in meV/atom: -177.4
# M_tot in μB per cell: 0.0
# Space-group type: No. 221

***

(3)
# AcTbNdPu, relaxed, DFT PBE
data_AcTbNdPu
_chemical_formula_sum 'Ac1 Tb1 Nd1 Pu1'
_symmetry_space_group_name_H-M 'P 1'
_symmetry_Int_Tables_number 1
_cell_length_a 5.838
_cell_length_b 5.838
_cell_length_c 5.838
_cell_angle_alpha 60.00
_cell_angle_beta 60.00
_cell_angle_gamma 60.00
loop_
_symmetry_equiv_pos_as_xyz
'x,y,z'
loop_
_atom_site_label
_atom_site_type_symbol
_atom_site_fract_x
_atom_site_fract_y
_atom_site_fract_z
Pu1 Pu 0.000 0.000 0.000
Ac1 Ac 0.500 0.500 0.500
Nd1 Nd 0.250 0.250 0.250
Tb1 Tb 0.750 0.750 0.750
# Crystal system: cubic
# ΔE_f in eV/f.u.: 1.075
# M_tot in μB per cell: 7.3
# Space-group type: No. 216

***

(4)
# TbCeErTl, relaxed, DFT PBE
data_TbCeErTl
_chemical_formula_sum 'Tb1 Ce1 Er1 Tl1'
_symmetry_space_group_name_H-M 'P 1'
_symmetry_Int_Tables_number 1
_cell_length_a 5.397
_cell_length_b 5.397
_cell_length_c 5.397
_cell_angle_alpha 60.00
_cell_angle_beta 60.00
_cell_angle_gamma 60.00
loop_
_symmetry_equiv_pos_as_xyz
'x,y,z'
loop_
_atom_site_label
_atom_site_type_symbol
_atom_site_fract_x
_atom_site_fract_y
_atom_site_fract_z
Ce1 Ce 0.250 0.250 0.250
Er1 Er 0.000 0.000 0.000
Tl1 Tl 0.750 0.750 0.750
Tb1 Tb 0.500 0.500 0.500
# Crystal system: cubic
# ΔE_f in eV/f.u.: 0.108
# M_tot in μB per cell: 0.4
# Space-group type: No. 216